VASP calculation (PBE with a Hubbard U) on an optimized crystal structure of Sr3Fe2GeO9.

```
data_Sr3Fe2GeO9
_chemical_formula_sum 'Sr3 Fe2 Ge1 O9'
_space_group_name_H-M_alt 'P -3 m 1'
_space_group_IT_number 164
_space_group_name_Hall '-P 3 2"'
_cell_length_a 5.5256
_cell_length_b 5.5256
_cell_length_c 6.7853
_cell_angle_alpha 90.00
_cell_angle_beta 90.00
_cell_angle_gamma 120.00
loop_
_atom_site_label
_atom_site_type_symbol
_atom_site_fract_x
_atom_site_fract_y
_atom_site_fract_z
Sr1 Sr 0.0000 0.0000 0.0000
Sr2 Sr 0.3333 0.6667 0.6675
Fe1 Fe 0.3333 0.6667 0.1692
Ge1 Ge 0.0000 0.0000 0.5000
O1 O 0.0000 0.5000 0.0000
O2 O 0.1634 0.3268 0.3374
```

## Properties
* total DFT energy (no corrections): -95.72 eV/cell
* crystal system: trigonal